Entry from Alexandria: MgTl2Sn7 after structural relaxation (PBE).

a = 5.007 Å, b = 5.007 Å, c = 12.695 Å
α = 90.00°, β = 90.00°, γ = 90.00°
Fractional positions:
Mg1 0.000 0.000 0.000
Tl1 0.000 0.500 0.770
Tl2 0.500 0.000 0.230
Sn1 0.000 0.000 0.500
Sn2 0.000 0.500 0.133
Sn3 0.000 0.500 0.364
Sn4 0.500 0.000 0.636
Sn5 0.500 0.000 0.867
Sn6 0.500 0.500 0.000
Sn7 0.500 0.500 0.500

Properties
VASP energy	-33.8	eV per cell
DOS at the Fermi energy	0.436	states/eV per atom
size of the total moment	0.00	μB per formula unit
energy of formation	0.520	eV per formula unit